1.
Compound: LaZrGa2
Source: Alexandria via LeMat-Bulk
Functional: GGA-PBE
Structure: relaxed

Cell lengths 3.662, 3.662, 6.760 Å; angles 90.00, 90.00, 90.00 degrees
Element x y z (fractional)
La1 0.000 0.000 0.000
Zr1 0.000 0.000 0.500
Ga1 0.500 0.500 0.298
Ga2 0.500 0.500 0.702

Results
- Volume: 22.67 Å³ per atom
- Symmetry: P4/mmm
- Offset from the most stable computed form: 0 meV per atom
- ρ: 6.77 g cm⁻³
- Formation energy: -0.494 eV per atom

---

2.
Compound: Ca2CdSi
Source: Alexandria via LeMat-Bulk
Functional: GGA-PBE
Structure: relaxed

Cell lengths 10.516, 10.516, 10.516 Å; angles 152.42, 152.42, 39.40 degrees
Element x y z (fractional)
Ca1 0.103 0.625 0.978
Ca2 0.375 0.353 0.478
Ca3 0.647 0.125 0.022
Ca4 0.875 0.897 0.522
Cd1 0.250 0.750 0.500
Cd2 0.500 0.500 0.000
Si1 0.000 0.000 0.000
Si2 0.750 0.250 0.500

Results
- Volume: 31.10 Å³ per atom
- Symmetry: I-42d
- Formation energy without anion corrections: 0.22 eV/atom
- ρ: 2.95 g cm⁻³

---

3.
Compound: KCoRe3
Source: Alexandria via LeMat-Bulk
Functional: GGA-PBE
Structure: relaxed

Cell lengths 4.416, 4.416, 4.416 Å; angles 90.00, 90.00, 90.00 degrees
Element x y z (fractional)
K1 0.000 0.000 0.000
Co1 0.500 0.500 0.500
Re1 0.000 0.000 0.500
Re2 0.000 0.500 0.000
Re3 0.500 0.000 0.000

Results
- Volume: 17.22 Å³ per atom
- Symmetry: Pm-3m
- Offset from the most stable computed form: 1979 meV per atom
- ρ: 12.66 g cm⁻³
- Formation energy: 4.020 eV per atom

---

4.
Compound: La6PAu2I3
Source: Alexandria via LeMat-Bulk
Functional: GGA-PBE
Structure: relaxed

Cell lengths 7.666, 7.666, 8.082 Å; angles 99.10, 99.10, 119.63 degrees
Element x y z (fractional)
La1 0.070 0.394 0.209
La2 0.254 0.254 0.790
La3 0.394 0.070 0.209
La4 0.606 0.930 0.791
La5 0.746 0.746 0.210
La6 0.930 0.606 0.791
P1 0.000 0.000 0.000
Au1 0.334 0.666 0.000
Au2 0.666 0.334 0.000
I1 0.167 0.833 0.500
I2 0.500 0.500 0.500
I3 0.833 0.167 0.500

Results
- Volume: 32.66 Å³ per atom
- Symmetry: C2/m
- Formation energy without anion corrections: -1.07 eV/atom
- ρ: 6.95 g cm⁻³

---

5.
Compound: CeClF
Source: Alexandria via LeMat-Bulk
Functional: GGA-PBE
Structure: relaxed

Cell lengths 3.683, 4.233, 7.462 Å; angles 90.00, 90.00, 90.00 degrees
Element x y z (fractional)
Ce1 0.250 0.250 0.223
Ce2 0.750 0.750 0.777
Cl1 0.250 0.250 0.641
Cl2 0.750 0.750 0.359
F1 0.250 0.750 0.020
F2 0.750 0.250 0.980

Results
- Volume: 19.39 Å³ per atom
- Symmetry: Pmmn
- Formation energy without anion corrections: -2.65 eV/atom
- Offset from the most stable computed form: 0 meV per atom
- ρ: 5.55 g cm⁻³

---

6.
Compound: HgSbSCl2
Source: Alexandria via LeMat-Bulk
Functional: GGA-PBE
Structure: relaxed

Cell lengths 5.309, 5.309, 5.136 Å; angles 90.00, 90.00, 90.00 degrees
Element x y z (fractional)
Hg1 0.000 0.000 0.000
Sb1 0.500 0.500 0.500
S1 0.500 0.500 0.000
Cl1 0.000 0.500 0.500
Cl2 0.500 0.000 0.500

Results
- Volume: 28.95 Å³ per atom
- Symmetry: P4/mmm
- Formation energy without anion corrections: -0.20 eV/atom
- Offset from the most stable computed form: 0 meV per atom
- ρ: 4.88 g cm⁻³